# 1
First-principles (GGA-PBE) data for a geometry-optimized Pr3Mg3Ag2Pd structure, as listed in OQMD via LeMat-Bulk.

a b c (Å): 7.812 7.812 4.227
angles (deg): 90.00 90.00 120.00
Fractional coordinates of all 9 atoms:
Pr  0.000  0.591  0.000
Pr  0.409  0.409  0.000
Pr  0.591  0.000  0.000
Mg  0.000  0.233  0.500
Mg  0.233  0.000  0.500
Mg  0.767  0.767  0.500
Ag  0.333  0.667  0.500
Ag  0.667  0.333  0.500
Pd  0.000  0.000  0.000

Values from the calculation:
total energy = -3.69 eV/atom

# 2
First-principles (GGA-PBE) data for a geometry-optimized Cs2ReCl6 structure, as listed in OQMD via LeMat-Bulk.

a b c (Å): 7.381 7.381 7.384
angles (deg): 119.96 119.96 60.07
Fractional coordinates of all 9 atoms:
Cs  0.249  0.249  0.250
Cs  0.751  0.751  0.750
Re  0.500  0.500  0.000
Cl  0.269  0.724  0.224
Cl  0.272  0.272  0.765
Cl  0.276  0.731  0.776
Cl  0.724  0.269  0.224
Cl  0.728  0.728  0.235
Cl  0.731  0.276  0.776

Values from the calculation:
total energy = -4.14 eV/atom

# 3
First-principles (GGA-PBE) data for a geometry-optimized Tb2Al3Pd4 structure, as listed in OQMD via LeMat-Bulk.

a b c (Å): 8.164 8.164 7.610
angles (deg): 90.00 90.00 139.90
Fractional coordinates of all 18 atoms:
Tb  0.108  0.892  0.914
Tb  0.392  0.608  0.414
Tb  0.608  0.392  0.586
Tb  0.892  0.108  0.086
Al  0.000  0.000  0.500
Al  0.021  0.479  0.750
Al  0.479  0.021  0.250
Al  0.500  0.500  0.000
Al  0.521  0.979  0.750
Al  0.979  0.521  0.250
Pd  0.183  0.817  0.521
Pd  0.188  0.312  0.750
Pd  0.312  0.188  0.250
Pd  0.317  0.683  0.021
Pd  0.683  0.317  0.979
Pd  0.688  0.812  0.750
Pd  0.812  0.688  0.250
Pd  0.817  0.183  0.479

Values from the calculation:
total energy = -5.49 eV/atom

# 4
First-principles (GGA-PBE) data for a geometry-optimized LiPrAlF6 structure, as listed in OQMD via LeMat-Bulk.

a b c (Å): 4.978 4.978 9.218
angles (deg): 90.00 90.00 120.00
Fractional coordinates of all 18 atoms:
Li  0.333  0.667  0.250
Li  0.667  0.333  0.750
Pr  0.000  0.000  0.000
Pr  0.000  0.000  0.500
Al  0.333  0.667  0.750
Al  0.667  0.333  0.250
F  0.016  0.428  0.629
F  0.016  0.588  0.871
F  0.412  0.428  0.871
F  0.412  0.984  0.629
F  0.428  0.016  0.129
F  0.428  0.412  0.371
F  0.572  0.588  0.629
F  0.572  0.984  0.871
F  0.588  0.016  0.371
F  0.588  0.572  0.129
F  0.984  0.412  0.129
F  0.984  0.572  0.371

Values from the calculation:
total energy = -5.63 eV/atom

# 5
First-principles (GGA-PBE) data for a geometry-optimized ErLu2In3CuAu2 structure, as listed in OQMD via LeMat-Bulk.

a b c (Å): 3.791 7.717 7.717
angles (deg): 120.21 90.00 90.00
Fractional coordinates of all 9 atoms:
Er  0.000  0.000  0.000
Lu  0.000  0.404  0.807
Lu  0.000  0.807  0.404
In  0.500  0.152  0.404
In  0.500  0.404  0.152
In  0.500  0.656  0.656
Cu  0.000  0.405  0.405
Au  0.500  0.071  0.735
Au  0.500  0.735  0.071

Values from the calculation:
total energy = -4.21 eV/atom

# 6
First-principles (GGA-PBE) data for a geometry-optimized DyTmAg2 structure, as listed in OQMD via LeMat-Bulk.

a b c (Å): 4.750 5.768 5.768
angles (deg): 37.01 90.00 90.00
Fractional coordinates of all 4 atoms:
Dy  0.000  0.000  0.000
Tm  0.500  0.288  0.288
Ag  0.000  0.726  0.726
Ag  0.500  0.564  0.564

Values from the calculation:
formation energy from the elements = -0.3007 eV/atom

# 7
First-principles (GGA-PBE) data for a geometry-optimized PaTeI3 structure, as listed in OQMD via LeMat-Bulk.

a b c (Å): 7.936 8.339 14.936
angles (deg): 90.00 99.48 90.00
Fractional coordinates of all 20 atoms:
Pa  0.076  0.126  0.142
Pa  0.076  0.874  0.642
Pa  0.924  0.126  0.358
Pa  0.924  0.874  0.858
Te  0.162  0.387  0.300
Te  0.162  0.613  0.800
Te  0.838  0.387  0.200
Te  0.838  0.613  0.700
I  0.154  0.193  0.544
I  0.154  0.807  0.044
I  0.242  0.071  0.810
I  0.242  0.929  0.310
I  0.368  0.278  0.076
I  0.368  0.722  0.576
I  0.632  0.278  0.424
I  0.632  0.722  0.924
I  0.758  0.071  0.690
I  0.758  0.929  0.190
I  0.846  0.193  0.956
I  0.846  0.807  0.456

Values from the calculation:
total energy = -4.29 eV/atom

# 8
First-principles (GGA-PBE) data for a geometry-optimized PrSi2 structure, as listed in OQMD via LeMat-Bulk.

a b c (Å): 9.483 9.483 9.483
angles (deg): 60.00 60.00 60.00
Fractional coordinates of all 6 atoms:
Pr  0.125  0.125  0.125
Pr  0.875  0.875  0.875
Si  0.000  0.000  0.000
Si  0.000  0.000  0.500
Si  0.000  0.500  0.000
Si  0.500  0.000  0.000

Values from the calculation:
total energy = -3.37 eV/atom

# 9
First-principles (GGA-PBE) data for a geometry-optimized LuMg2As structure, as listed in OQMD via LeMat-Bulk.

a b c (Å): 5.028 5.028 5.028
angles (deg): 60.00 60.00 60.00
Fractional coordinates of all 4 atoms:
Lu  0.000  0.000  0.000
Mg  0.250  0.250  0.250
Mg  0.500  0.500  0.500
As  0.750  0.750  0.750

Values from the calculation:
total energy = -3.24 eV/atom

# 10
First-principles (GGA-PBE) data for a geometry-optimized MgPaSb structure, as listed in OQMD via LeMat-Bulk.

a b c (Å): 5.113 5.113 5.113
angles (deg): 60.00 60.00 60.00
Fractional coordinates of all 3 atoms:
Mg  0.000  0.000  0.000
Pa  0.250  0.250  0.250
Sb  0.500  0.500  0.500

Values from the calculation:
total energy = -4.68 eV/atom

# 11
First-principles (GGA-PBE) data for a geometry-optimized SrAgHg structure, as listed in OQMD via LeMat-Bulk.

a b c (Å): 5.077 5.077 5.077
angles (deg): 60.00 60.00 60.00
Fractional coordinates of all 3 atoms:
Sr  0.000  0.000  0.000
Ag  0.750  0.750  0.750
Hg  0.500  0.500  0.500

Values from the calculation:
total energy = -1.88 eV/atom

# 12
First-principles (GGA-PBE) data for a geometry-optimized LiSm2Ir2 structure, as listed in OQMD via LeMat-Bulk.

a b c (Å): 5.734 5.734 8.026
angles (deg): 105.00 105.00 56.85
Fractional coordinates of all 10 atoms:
Li  0.133  0.867  0.750
Li  0.867  0.133  0.250
Sm  0.199  0.510  0.352
Sm  0.490  0.801  0.148
Sm  0.510  0.199  0.852
Sm  0.801  0.490  0.648
Ir  0.015  0.715  0.988
Ir  0.285  0.985  0.512
Ir  0.715  0.015  0.488
Ir  0.985  0.285  0.012

Values from the calculation:
total energy = -6.38 eV/atom

# 13
First-principles (GGA-PBE) data for a geometry-optimized Li4PrSnO6 structure, as listed in OQMD via LeMat-Bulk.

a b c (Å): 5.578 5.578 5.191
angles (deg): 99.16 99.16 121.37
Fractional coordinates of all 12 atoms:
Li  0.000  0.000  0.000
Li  0.145  0.855  0.500
Li  0.527  0.473  0.500
Li  0.876  0.124  0.500
Pr  0.333  0.667  0.000
Sn  0.663  0.337  0.000
O  0.031  0.392  0.255
O  0.271  0.243  0.744
O  0.402  0.107  0.232
O  0.608  0.969  0.745
O  0.757  0.729  0.256
O  0.893  0.598  0.768

Values from the calculation:
total energy = -5.78 eV/atom

# 14
First-principles (GGA-PBE) data for a geometry-optimized ScUTl structure, as listed in OQMD via LeMat-Bulk.

a b c (Å): 5.048 5.048 5.048
angles (deg): 60.00 60.00 60.00
Fractional coordinates of all 3 atoms:
Sc  0.000  0.000  0.000
U  0.250  0.250  0.250
Tl  0.500  0.500  0.500

Values from the calculation:
relative energy among the computed polymorphs = 295 meV/atom

# 15
First-principles (GGA-PBE) data for a geometry-optimized KFeBi structure, as listed in OQMD via LeMat-Bulk.

a b c (Å): 5.256 5.256 5.256
angles (deg): 60.00 60.00 60.00
Fractional coordinates of all 3 atoms:
K  0.000  0.000  0.000
Fe  0.250  0.250  0.250
Bi  0.750  0.750  0.750

Values from the calculation:
total energy = -3.16 eV/atom

# 16
First-principles (GGA-PBE) data for a geometry-optimized NbFePb2 structure, as listed in OQMD via LeMat-Bulk.

a b c (Å): 4.888 4.888 4.888
angles (deg): 60.00 60.00 60.00
Fractional coordinates of all 4 atoms:
Nb  0.000  0.000  0.000
Fe  0.250  0.250  0.250
Pb  0.500  0.500  0.500
Pb  0.750  0.750  0.750

Values from the calculation:
total energy = -5.65 eV/atom

# 17
First-principles (GGA-PBE) data for a geometry-optimized CuAg9 structure, as listed in OQMD via LeMat-Bulk.

a b c (Å): 6.454 6.454 9.638
angles (deg): 101.29 101.29 26.25
Fractional coordinates of all 10 atoms:
Cu  0.000  0.000  0.000
Ag  0.099  0.099  0.297
Ag  0.200  0.200  0.603
Ag  0.306  0.306  0.903
Ag  0.402  0.402  0.192
Ag  0.500  0.500  0.500
Ag  0.598  0.598  0.808
Ag  0.694  0.694  0.097
Ag  0.800  0.800  0.397
Ag  0.901  0.901  0.703

Values from the calculation:
formation energy from the elements = 0.0281 eV/atom
relative energy among the computed polymorphs = 10 meV/atom

# 18
First-principles (GGA-PBE) data for a geometry-optimized Cu17Ge structure, as listed in OQMD via LeMat-Bulk.

a b c (Å): 5.087 5.087 31.874
angles (deg): 90.00 90.00 120.00
Fractional coordinates of all 36 atoms:
Cu  0.000  0.000  0.000
Cu  0.000  0.000  0.197
Cu  0.000  0.000  0.803
Cu  0.000  0.500  0.000
Cu  0.001  0.501  0.803
Cu  0.166  0.333  0.131
Cu  0.166  0.834  0.131
Cu  0.167  0.333  0.934
Cu  0.167  0.334  0.736
Cu  0.167  0.833  0.736
Cu  0.167  0.833  0.934
Cu  0.333  0.166  0.869
Cu  0.333  0.167  0.066
Cu  0.333  0.667  0.066
Cu  0.333  0.667  0.869
Cu  0.334  0.167  0.264
Cu  0.499  0.501  0.803
Cu  0.499  0.999  0.803
Cu  0.500  0.000  0.000
Cu  0.500  0.500  0.000
Cu  0.501  0.001  0.197
Cu  0.501  0.499  0.197
Cu  0.666  0.833  0.736
Cu  0.667  0.333  0.131
Cu  0.667  0.333  0.934
Cu  0.667  0.833  0.934
Cu  0.667  0.834  0.131
Cu  0.833  0.167  0.066
Cu  0.833  0.167  0.264
Cu  0.833  0.666  0.264
Cu  0.833  0.667  0.066
Cu  0.834  0.166  0.869
Cu  0.834  0.667  0.869
Cu  0.999  0.499  0.197
Ge  0.333  0.667  0.267
Ge  0.667  0.333  0.733

Values from the calculation:
relative energy among the computed polymorphs = 2 meV/atom